A.
4
Lattice="4.835 0.000 0.000 0.000 5.107 0.000 0.000 0.000 5.107" Properties=species:S:1:pos:R:3 comment="Pr2ThBi, relaxed, DFT PBE" total_magnetization_mub_per_atom=0.000 dos_ef_per_ev_atom=0.97 crystal_system=tetragonal space_group="P4/mmm, No. 123" pbc="T T T"
Th 2.417 2.553 2.553
Bi 2.417 0.000 0.000
Pr 0.000 2.553 0.000
Pr 0.000 0.000 2.553

=====

B.
4
Lattice="-4.055 0.473 -0.233 -0.361 -3.805 -1.453 -0.729 -2.693 7.237" Properties=species:S:1:pos:R:3 comment="Pr2ThBi, relaxed, DFT PBE" total_magnetization_mub_per_atom=0.000 dos_ef_per_ev_atom=0.96 crystal_system=tetragonal space_group="P4/mmm, No. 123" pbc="T T T"
Pr -0.201 -0.741 1.990
Pr -0.529 -1.953 5.247
Bi -2.572 -3.013 2.776
Th -2.208 -1.666 -0.843

=====

Structures ranked by computed energy, the most stable listed first: B, A.

=====

A.
4
Lattice="-0.544 -1.230 -3.191 2.444 -1.886 -1.568 -3.752 -10.316 2.736" Properties=species:S:1:pos:R:3 comment="PrTiBi2, relaxed, DFT PBE" total_magnetization_mub_per_atom=0.000 dos_ef_per_ev_atom=1.44 crystal_system=trigonal space_group="R-3m, No. 166" pbc="T T T"
Ti -0.926 -6.716 -1.012
Bi 0.583 -5.903 -3.461
Bi -2.434 -7.529 1.438
Pr 0.000 0.000 0.000

=====

B.
4
Lattice="3.646 0.000 0.000 0.000 3.646 0.000 0.000 0.000 8.095" Properties=species:S:1:pos:R:3 comment="PrTiBi2, relaxed, DFT PBE" total_magnetization_mub_per_atom=0.358 dos_ef_per_ev_atom=0.89 crystal_system=tetragonal space_group="P4/mmm, No. 123" pbc="T T T"
Pr 1.823 1.823 4.048
Bi 0.000 0.000 6.368
Bi 0.000 0.000 1.728
Ti 1.823 1.823 0.000

=====

Structures ranked by computed energy, the most stable listed first: B, A.

=====

A.
4
Lattice="5.252 0.000 0.000 2.626 4.548 0.000 2.626 1.516 6.149" Properties=species:S:1:pos:R:3 comment="PrTlBi2, relaxed, DFT PBE" total_magnetization_mub_per_atom=0.000 dos_ef_per_ev_atom=0.36 crystal_system=trigonal space_group="R3m, No. 160" pbc="T T T"
Bi 2.626 1.516 4.609
Bi 2.626 1.516 1.427
Tl 5.252 3.032 3.262
Pr 7.878 4.548 6.075

=====

B.
4
Lattice="4.486 0.000 0.000 2.243 3.885 0.000 2.243 1.295 8.346" Properties=species:S:1:pos:R:3 comment="PrTlBi2, relaxed, DFT PBE" total_magnetization_mub_per_atom=0.000 dos_ef_per_ev_atom=0.76 crystal_system=trigonal space_group="R-3m, No. 166" pbc="T T T"
Bi 6.729 3.885 6.169
Bi 2.243 1.295 2.177
Pr 4.486 2.590 4.173
Tl 0.000 0.000 0.000

=====

C.
4
Lattice="4.973 0.000 0.000 0.000 4.983 0.000 -2.487 -2.491 5.001" Properties=species:S:1:pos:R:3 comment="PrTlBi2, relaxed, DFT PBE" total_magnetization_mub_per_atom=0.000 dos_ef_per_ev_atom=0.40 crystal_system=tetragonal space_group="I4/mmm, No. 139" pbc="T T T"
Bi 0.000 2.491 2.500
Bi 2.487 0.000 2.501
Tl 2.487 2.491 0.000
Pr 0.000 0.000 0.000

=====

D.
4
Lattice="-4.226 -0.980 0.474 0.251 -2.726 -3.398 1.632 -5.029 4.156" Properties=species:S:1:pos:R:3 comment="PrTlBi2, relaxed, DFT PBE" total_magnetization_mub_per_atom=0.000 dos_ef_per_ev_atom=0.89 crystal_system=tetragonal space_group="P4/mmm, No. 123" pbc="T T T"
Tl -1.171 -4.368 0.616
Pr -1.987 -1.853 -1.462
Bi 0.385 -1.186 0.980
Bi 1.247 -3.843 3.175

=====

Structures ranked by computed energy, the most stable listed first: D, C, A, B.

=====

A.
7
Lattice="4.574 0.000 0.000 0.000 4.574 0.000 0.000 0.000 11.490" Properties=species:S:1:pos:R:3 comment="Pr2TlBi4, relaxed, DFT PBE" total_magnetization_mub_per_atom=0.000 dos_ef_per_ev_atom=0.39 crystal_system=tetragonal space_group="P-4m2, No. 115" pbc="T T T"
Bi 2.287 0.000 2.283
Bi 0.000 0.000 5.745
Bi 0.000 2.287 9.207
Bi 2.287 2.287 5.745
Tl 2.287 2.287 0.000
Pr 0.000 2.287 3.143
Pr 2.287 0.000 8.348

=====

B.
7
Lattice="6.161 0.007 -3.526 -2.060 5.806 -3.526 -0.152 -0.216 6.862" Properties=species:S:1:pos:R:3 comment="Pr2TlBi4, relaxed, DFT PBE" total_magnetization_mub_per_atom=0.000 dos_ef_per_ev_atom=0.63 crystal_system=monoclinic space_group="C2/m, No. 12" pbc="T T T"
Pr 0.055 4.440 0.143
Pr 4.164 1.541 0.143
Bi 0.131 4.548 -3.288
Bi 3.212 4.552 -5.050
Bi 1.161 1.645 -1.525
Bi 4.241 1.649 -3.288
Tl 3.135 4.444 -1.620

=====

Structures ranked by computed energy, the most stable listed first: A, B.

=====

A.
4
Lattice="4.018 0.000 0.000 0.000 4.018 0.000 0.000 0.000 7.526" Properties=species:S:1:pos:R:3 comment="PrTm2Bi, relaxed, DFT PBE" total_magnetization_mub_per_atom=0.000 dos_ef_per_ev_atom=1.06 crystal_system=tetragonal space_group="P4/mmm, No. 123" pbc="T T T"
Pr 2.009 2.009 0.000
Tm 0.000 0.000 5.442
Tm 0.000 0.000 2.083
Bi 2.009 2.009 3.763

=====

B.
4
Lattice="-1.298 -4.401 1.676 3.459 -2.084 -2.793 3.232 0.445 3.670" Properties=species:S:1:pos:R:3 comment="PrTm2Bi, relaxed, DFT PBE" total_magnetization_mub_per_atom=0.000 dos_ef_per_ev_atom=1.25 crystal_system=tetragonal space_group="P4/mmm, No. 123" pbc="T T T"
Tm 1.730 -1.042 -1.397
Tm 1.616 0.222 1.835
Bi -0.649 -2.200 0.838
Pr 2.696 -3.020 1.277

=====

C.
8
Lattice="-2.340 -2.251 2.622 3.511 -4.156 -3.754 7.123 0.154 6.490" Properties=species:S:1:pos:R:3 comment="PrTm2Bi, relaxed, DFT PBE" total_magnetization_mub_per_atom=0.167 dos_ef_per_ev_atom=1.46 crystal_system=orthorhombic space_group="Cmcm, No. 63" pbc="T T T"
Tm 8.549 -3.712 4.444
Tm 2.735 -2.475 3.640
Tm 5.558 -3.777 1.719
Tm -0.256 -2.540 0.914
Pr 5.588 -0.437 4.612
Pr 2.706 -5.814 0.747
Bi 5.407 -3.795 4.890
Bi 2.886 -2.456 0.469

=====

D.
4
Lattice="3.561 0.000 0.000 1.780 3.084 0.000 1.780 1.028 12.001" Properties=species:S:1:pos:R:3 comment="PrTm2Bi, relaxed, DFT PBE" total_magnetization_mub_per_atom=0.000 dos_ef_per_ev_atom=0.78 crystal_system=trigonal space_group="R-3m, No. 166" pbc="T T T"
Pr 3.561 2.056 6.001
Tm 1.780 1.028 8.872
Tm 5.341 3.084 3.129
Bi 0.000 0.000 0.000

=====

Structures ranked by computed energy, the most stable listed first: C, B, A, D.

=====

A.
4
Lattice="-1.079 -1.365 2.931 2.105 -0.174 2.676 -3.473 10.483 5.587" Properties=species:S:1:pos:R:3 comment="PrUBi2, relaxed, DFT PBE" total_magnetization_mub_per_atom=0.721 dos_ef_per_ev_atom=1.85 crystal_system=trigonal space_group="R-3m, No. 166" pbc="T T T"
Pr 0.000 0.000 0.000
Bi -0.014 1.459 6.621
Bi -2.433 7.485 4.573
U -1.223 4.472 5.597

=====

B.
4
Lattice="3.394 0.000 0.000 0.000 5.938 0.000 0.000 0.000 5.938" Properties=species:S:1:pos:R:3 comment="PrUBi2, relaxed, DFT PBE" total_magnetization_mub_per_atom=0.879 dos_ef_per_ev_atom=2.08 crystal_system=tetragonal space_group="P4/mmm, No. 123" pbc="T T T"
Bi 0.000 0.000 2.969
Bi 0.000 2.969 0.000
Pr 1.697 2.969 2.969
U 1.697 0.000 0.000

=====

Structures ranked by computed energy, the most stable listed first: B, A.

=====

A.
4
Lattice="4.857 0.000 0.000 0.000 4.979 0.000 0.000 0.000 4.979" Properties=species:S:1:pos:R:3 comment="PrY2Bi, relaxed, DFT PBE" total_magnetization_mub_per_atom=0.000 dos_ef_per_ev_atom=1.17 crystal_system=tetragonal space_group="P4/mmm, No. 123" pbc="T T T"
Y 0.000 0.000 2.490
Y 0.000 2.490 0.000
Bi 2.428 0.000 0.000
Pr 2.428 2.490 2.490

=====

B.
4
Lattice="4.033 0.000 0.000 2.016 3.492 0.000 2.016 1.164 9.888" Properties=species:S:1:pos:R:3 comment="PrY2Bi, relaxed, DFT PBE" total_magnetization_mub_per_atom=0.000 dos_ef_per_ev_atom=1.14 crystal_system=trigonal space_group="R-3m, No. 166" pbc="T T T"
Bi 0.000 0.000 0.000
Y 6.049 3.492 7.865
Y 2.016 1.164 2.023
Pr 4.033 2.328 4.944

=====

C.
4
Lattice="-0.176 -4.020 0.693 0.619 -1.452 3.766 -9.333 -1.091 3.326" Properties=species:S:1:pos:R:3 comment="PrY2Bi, relaxed, DFT PBE" total_magnetization_mub_per_atom=0.075 dos_ef_per_ev_atom=1.22 crystal_system=trigonal space_group="R3m, No. 160" pbc="T T T"
Bi 0.283 -3.647 2.975
Pr -4.429 -3.283 3.889
Y -1.808 -1.673 1.866
Y -7.383 -1.242 2.947

=====

Structures ranked by computed energy, the most stable listed first: A, C, B.

=====

A.
8
Lattice="-0.829 -3.322 -2.433 4.564 3.767 -3.073 7.139 -5.030 4.438" Properties=species:S:1:pos:R:3 comment="PrY2Bi, relaxed, DFT PBE" total_magnetization_mub_per_atom=0.247 dos_ef_per_ev_atom=1.45 crystal_system=orthorhombic space_group="Cmcm, No. 63" pbc="T T T"
Bi 3.748 -0.261 -0.920
Bi 7.126 -4.325 -0.147
Y 6.883 -1.185 -0.726
Y 3.991 -3.401 -0.341
Y 1.001 -1.294 -2.200
Y 9.873 -3.292 1.132
Pr 5.068 -1.043 -3.929
Pr 5.806 -3.543 2.861

=====

B.
4
Lattice="-3.461 0.803 1.965 -1.857 -2.966 -2.059 1.915 -4.942 5.394" Properties=species:S:1:pos:R:3 comment="PrY2Bi, relaxed, DFT PBE" total_magnetization_mub_per_atom=0.000 dos_ef_per_ev_atom=1.08 crystal_system=tetragonal space_group="P4/mmm, No. 123" pbc="T T T"
Y 0.532 -1.372 1.497
Y 1.384 -3.570 3.897
Bi -1.701 -3.553 2.650
Pr -2.659 -1.082 -0.047

=====

Structures ranked by computed energy, the most stable listed first: A, B.